# 1
Material: TeAu3C
Method: DFT, GGA-PBE
State: relaxed

Cell lengths 4.503, 4.503, 4.503 Å; angles 90.00, 90.00, 90.00 degrees
Space group Pm-3m (No. 221)
Inequivalent atoms, fractional coordinates:
Te1 0.000 0.000 0.000 (multiplicity 1)
Au1 0.000 0.500 0.500 (multiplicity 3)
C1 0.500 0.500 0.500 (multiplicity 1)

Output
Electronic total energy = -3.539 eV per atom
Fermi-level density of states = 0.56 states/eV/atom
Magnetization = 0.00 μB per cell
Raw formation energy = 4.504 eV per formula unit
Energy above the lowest structure with this stoichiometry = 0 meV per atom

---

# 2
Material: Th6TeAu2C3
Method: DFT, GGA-PBE
State: relaxed

Cell lengths 18.745, 3.838, 8.686 Å; angles 90.00, 113.90, 90.00 degrees
Space group C2/m (No. 12)
Inequivalent atoms, fractional coordinates:
Th1 0.010 0.000 0.214 (multiplicity 4)
Th2 0.149 0.500 0.124 (multiplicity 4)
Th3 0.184 0.500 0.563 (multiplicity 4)
Te1 0.000 0.500 0.500 (multiplicity 2)
Au1 0.182 0.000 0.870 (multiplicity 4)
C1 0.000 0.500 0.000 (multiplicity 2)
C2 0.164 0.000 0.343 (multiplicity 4)

Output
Electronic total energy = -7.385 eV per atom
Fermi-level density of states = 0.77 states/eV/atom
Magnetization = 0.00 μB per cell
Raw formation energy = -6.731 eV per formula unit

---

# 3
Material: Th4AuC
Method: DFT, GGA-PBE
State: relaxed

Cell lengths 8.368, 14.516, 6.376 Å; angles 90.00, 121.86, 90.00 degrees
Space group C2/c (No. 15)
Inequivalent atoms, fractional coordinates:
Th1 0.143 0.201 0.160 (multiplicity 8)
Th2 0.223 0.051 0.713 (multiplicity 8)
Au1 0.000 0.385 0.750 (multiplicity 4)
C1 0.000 0.063 0.250 (multiplicity 4)

Output
ΔE_f = -1.4 eV/f.u.
Electronic total energy = -7.264 eV per atom
Fermi-level density of states = 1.13 states/eV/atom
Magnetization = 0.00 μB per cell

---

# 4
Material: Th5Au2C2
Method: DFT, GGA-PBE
State: relaxed

Cell lengths 15.960, 5.281, 5.244 Å; angles 90.00, 98.50, 90.00 degrees
Space group C2/m (No. 12)
Inequivalent atoms, fractional coordinates:
Th1 0.000 0.000 0.000 (multiplicity 2)
Th2 0.168 0.000 0.478 (multiplicity 4)
Th3 0.173 0.500 0.950 (multiplicity 4)
Au1 0.065 0.500 0.364 (multiplicity 4)
C1 0.158 0.000 0.971 (multiplicity 4)

Output
ΔE_f = -2.9 eV/f.u.
Electronic total energy = -7.221 eV per atom
Fermi-level density of states = 0.80 states/eV/atom
Magnetization = 0.00 μB per cell
Energy above the lowest structure with this stoichiometry = 0 meV per atom

---

# 5
Material: Th4Au2C
Method: DFT, GGA-PBE
State: relaxed

Cell lengths 7.611, 12.982, 3.805 Å; angles 90.00, 90.00, 90.00 degrees
Space group Pbam (No. 55)
Inequivalent atoms, fractional coordinates:
Th1 0.108 0.185 0.000 (multiplicity 4)
Th2 0.218 0.954 0.500 (multiplicity 4)
Au1 0.076 0.664 0.500 (multiplicity 4)
C1 0.000 0.000 0.000 (multiplicity 2)

Output
ΔE_f = -2.8 eV/f.u.
Electronic total energy = -6.897 eV per atom
Fermi-level density of states = 0.86 states/eV/atom
Magnetization = 0.00 μB per cell
Energy above the lowest structure with this stoichiometry = 102 meV per atom

---

# 6
Material: Th4Au2C
Method: DFT, GGA-PBE
State: relaxed

Cell lengths 12.475, 3.856, 8.688 Å; angles 90.00, 122.13, 90.00 degrees
Space group C2/m (No. 12)
Inequivalent atoms, fractional coordinates:
Th1 0.079 0.000 0.338 (multiplicity 4)
Th2 0.156 0.500 0.066 (multiplicity 4)
Au1 0.131 0.500 0.662 (multiplicity 4)
C1 0.000 0.000 0.000 (multiplicity 2)

Output
ΔE_f = -3.5 eV/f.u.
Electronic total energy = -6.998 eV per atom
Fermi-level density of states = 0.81 states/eV/atom
Magnetization = 0.00 μB per cell
Energy above the lowest structure with this stoichiometry = 0 meV per atom

---

# 7
Material: Th4Au2C
Method: DFT, GGA-PBE
State: relaxed

Cell lengths 5.066, 5.066, 14.760 Å; angles 90.00, 90.00, 90.00 degrees
Space group I4/mmm (No. 139)
Inequivalent atoms, fractional coordinates:
Th1 0.000 0.000 0.173 (multiplicity 4)
Th2 0.000 0.500 0.000 (multiplicity 4)
Au1 0.000 0.000 0.369 (multiplicity 4)
C1 0.000 0.000 0.000 (multiplicity 2)

Output
ΔE_f = -2.6 eV/f.u.
Electronic total energy = -6.862 eV per atom
Fermi-level density of states = 0.94 states/eV/atom
Magnetization = 0.00 μB per cell
Energy above the lowest structure with this stoichiometry = 137 meV per atom

---

# 8
Material: Th6Au2C
Method: DFT, GGA-PBE
State: relaxed

Cell lengths 6.450, 7.401, 11.974 Å; angles 90.00, 119.49, 90.00 degrees
Space group P2_1/c (No. 14)
Inequivalent atoms, fractional coordinates:
Th1 0.096 0.033 0.237 (multiplicity 4)
Th2 0.200 0.694 0.052 (multiplicity 4)
Th3 0.382 0.179 0.045 (multiplicity 4)
Au1 0.346 0.106 0.751 (multiplicity 4)
C1 0.000 0.000 0.000 (multiplicity 2)

Output
ΔE_f = -3.0 eV/f.u.
Electronic total energy = -7.029 eV per atom
Fermi-level density of states = 1.23 states/eV/atom
Magnetization = 0.00 μB per cell

---

# 9
Material: Th4AuC2
Method: DFT, GGA-PBE
State: relaxed

Cell lengths 3.812, 12.575, 13.554 Å; angles 90.00, 90.00, 90.00 degrees
Space group Cmcm (No. 63)
Inequivalent atoms, fractional coordinates:
Th1 0.000 0.000 0.000 (multiplicity 4)
Th2 0.000 0.270 0.106 (multiplicity 8)
Th3 0.000 0.422 0.750 (multiplicity 4)
Au1 0.000 0.108 0.750 (multiplicity 4)
C1 0.000 0.363 0.563 (multiplicity 8)

Output
ΔE_f = -2.6 eV/f.u.
Electronic total energy = -7.721 eV per atom
Fermi-level density of states = 0.98 states/eV/atom
Magnetization = 0.00 μB per cell

---

# 10
Material: Th5Au2C2
Method: DFT, GGA-PBE
State: relaxed

Cell lengths 16.733, 4.252, 6.923 Å; angles 90.00, 100.14, 90.00 degrees
Space group C2/m (No. 12)
Inequivalent atoms, fractional coordinates:
Th1 0.000 0.000 0.000 (multiplicity 2)
Th2 0.121 0.000 0.581 (multiplicity 4)
Th3 0.178 0.500 0.092 (multiplicity 4)
Au1 0.010 0.500 0.303 (multiplicity 4)
C1 0.175 0.000 0.916 (multiplicity 4)

Output
ΔE_f = -2.2 eV/f.u.
Electronic total energy = -7.142 eV per atom
Fermi-level density of states = 0.92 states/eV/atom
Magnetization = 0.00 μB per cell
Energy above the lowest structure with this stoichiometry = 79 meV per atom

---

# 11
Material: Th2ZnAuC
Method: DFT, GGA-PBE
State: relaxed

Cell lengths 7.244, 3.893, 8.213 Å; angles 90.00, 107.02, 90.00 degrees
Space group P2_1/m (No. 11)
Inequivalent atoms, fractional coordinates:
Th1 0.175 0.250 0.386 (multiplicity 2)
Th2 0.197 0.250 0.956 (multiplicity 2)
Zn1 0.452 0.750 0.253 (multiplicity 2)
Au1 0.299 0.750 0.692 (multiplicity 2)
C1 0.153 0.750 0.173 (multiplicity 2)

Output
ΔE_f = -1.9 eV/f.u.
Electronic total energy = -6.093 eV per atom
Fermi-level density of states = 0.60 states/eV/atom
Magnetization = 0.00 μB per cell

---

# 12
Material: Ti3Au3C
Method: DFT, GGA-PBE
State: relaxed

Cell lengths 12.062, 12.062, 12.062 Å; angles 90.00, 90.00, 90.00 degrees
Space group Fd-3m (No. 227, origin choice 2)
Inequivalent atoms, fractional coordinates:
Ti1 0.057 0.375 0.375 (multiplicity 48)
Au1 0.000 0.000 0.500 (multiplicity 16)
Au2 0.029 0.029 0.721 (multiplicity 32)
C1 0.000 0.000 0.000 (multiplicity 16)

Output
ΔE_f = -2.7 eV/f.u.
Electronic total energy = -6.491 eV per atom
Fermi-level density of states = 0.64 states/eV/atom
Magnetization = 0.00 μB per cell